Record 1
BeInP GGA-PBE optimized geometry; DFT total energy = -10.8 eV/cell; symmetry = F-43m; calculated volume = 54 Å³/cell
1.0
4.246 0.000 0.000
2.123 3.677 0.000
2.123 1.226 3.467
Be In P
1 1 1
Cartesian
6.369 3.677 2.600
0.000 0.000 0.000
4.246 2.451 1.733

---

Record 2
BeInP GGA-PBE optimized geometry; DFT total energy = -46.9 eV/cell; symmetry = Cmce; calculated volume = 254 Å³/cell; N(E_F) = 1.3 states/eV per cell
1.0
-6.585 1.245 2.280
1.260 -3.949 5.796
0.987 6.067 -0.461
P Be In
4 4 4
Cartesian
-4.198 0.188 2.471
-4.637 -1.585 5.739
-0.688 -1.119 2.336
-1.126 -2.891 5.604
-2.288 -0.051 1.604
-5.279 -0.374 4.131
-3.037 -2.653 6.471
-0.046 -2.330 3.944
-2.052 0.194 4.958
-2.286 3.170 2.656
1.636 0.573 4.414
0.611 1.546 0.920

---

Record 3
BeInP GGA-PBE optimized geometry; DFT total energy = -12.0 eV/cell; symmetry = P3m1; calculated volume = 56 Å³/cell; N(E_F) = 0.6 states/eV per cell
1.0
3.667 0.000 0.000
-1.833 3.175 0.000
0.000 0.000 4.817
P In Be
1 1 1
Cartesian
1.833 1.058 4.012
0.000 2.117 1.606
0.000 0.000 4.017

---

Record 4
BeInP GGA-PBE optimized geometry; DFT total energy = -11.0 eV/cell; symmetry = Fmm2; calculated volume = 56 Å³/cell; N(E_F) = 0.8 states/eV per cell
1.0
6.477 0.006 -0.005
5.479 2.990 -0.007
0.998 -0.666 2.908
P Be In
1 1 1
Cartesian
5.249 0.755 1.775
11.528 2.854 0.101
8.131 1.718 1.007